LiAg2Pb (GGA-PBE, relaxed); formation enthalpy at 0 K = -0.0912 eV per atom; mass density = 9.0 g/cm³
1.0
4.2767 0.0000 0.0000
0.0000 4.2767 0.0000
0.0000 0.0000 4.3437
Li Ag Pb
1 2 1
Cartesian
0.0000 0.0000 0.0000
0.0000 2.1383 2.1718
2.1383 0.0000 2.1718
2.1383 2.1383 0.0000